A plane-wave DFT calculation with PBE was carried out for a relaxed LiPm2Pt crystal.

Output
As for the formation energy from the elements: -0.547 eV/atom. For the density of states at the Fermi level, the calculation gives 0.747 states/eV/atom. As for the volume: 94.5 Å³/cell. The calculation puts the final energy at -4.911 eV per atom. The calculation puts the size of the total moment at 0.000 μB per atom.

Unit cell a=5.018 b=5.018 c=3.754 alpha=90.00 beta=90.00 gamma=90.00
Atoms (fractional coordinates):
Li 0.000 0.000 0.000
Pm 0.000 0.500 0.500
Pm 0.500 0.000 0.500
Pt 0.500 0.500 0.000

A plane-wave DFT calculation with PBE was carried out for a relaxed K2CoP crystal.

Output
As for the formation energy from the elements: 0.561 eV/atom. For the density of states at the Fermi level, the calculation gives 1.156 states/eV/atom. As for the volume: 89.8 Å³/cell. The calculation puts the final energy at -3.116 eV per atom. The calculation puts the size of the total moment at 0.502 μB per atom.

Unit cell a=5.026 b=5.026 c=5.026 alpha=60.00 beta=60.00 gamma=60.00
Atoms (fractional coordinates):
K 0.000 0.000 0.000
K 0.250 0.250 0.250
Co 0.750 0.750 0.750
P 0.500 0.500 0.500

A plane-wave DFT calculation with PBE was carried out for a relaxed K3HS2O8 crystal.

Output
For the density of states at the Fermi level, the calculation gives 0.000 states/eV/atom. As for the volume: 212.0 Å³/cell. The calculation puts the final energy at -5.618 eV per atom. The calculation puts the size of the total moment at 0.000 μB per atom.

Unit cell a=5.877 b=5.877 c=8.213 alpha=114.01 beta=114.01 gamma=57.56
Atoms (fractional coordinates):
K 0.000 0.000 0.000
K 0.193 0.193 0.627
K 0.807 0.807 0.373
H 0.500 0.500 0.000
S 0.434 0.434 0.229
S 0.566 0.566 0.771
O 0.261 0.694 0.692
O 0.297 0.297 0.244
O 0.306 0.739 0.308
O 0.390 0.390 0.020
O 0.610 0.610 0.980
O 0.694 0.261 0.692
O 0.703 0.703 0.756
O 0.739 0.306 0.308

A plane-wave DFT calculation with PBE was carried out for a relaxed CuMo4Os crystal.

Output
As for the formation energy from the elements: 0.486 eV/atom. For the density of states at the Fermi level, the calculation gives 0.876 states/eV/atom. As for the volume: 95.6 Å³/cell. The calculation puts the final energy at -9.289 eV per atom. The calculation puts the size of the total moment at 0.000 μB per atom.

Unit cell a=5.132 b=5.132 c=5.132 alpha=60.00 beta=60.00 gamma=60.00
Atoms (fractional coordinates):
Cu 0.000 0.000 0.000
Mo 0.374 0.374 0.374
Mo 0.374 0.374 0.879
Mo 0.374 0.879 0.374
Mo 0.879 0.374 0.374
Os 0.750 0.750 0.750

A plane-wave DFT calculation with PBE was carried out for a relaxed HfAuO2F crystal.

Output
For the density of states at the Fermi level, the calculation gives 0.774 states/eV/atom. As for the volume: 74.1 Å³/cell. For the energy relative to the elements, uncorrected, the calculation gives -0.619 eV per formula unit. The calculation puts the final energy at -5.127 eV per atom. The calculation puts the size of the total moment at 0.000 μB per atom.

Unit cell a=4.113 b=4.113 c=4.382 alpha=90.00 beta=90.00 gamma=90.00
Atoms (fractional coordinates):
Hf 0.000 0.000 0.000
Au 0.500 0.500 0.500
O 0.000 0.500 0.500
O 0.500 0.000 0.500
F 0.500 0.500 0.000

A plane-wave DFT calculation with PBE was carried out for a relaxed Nd6GeTe3Ir2 crystal.

Output
For the density of states at the Fermi level, the calculation gives 0.531 states/eV/atom. As for the volume: 357.4 Å³/cell. For the energy relative to the elements, uncorrected, the calculation gives -12.759 eV per formula unit. The calculation puts the final energy at -6.094 eV per atom. The calculation puts the size of the total moment at 0.000 μB per atom.

Unit cell a=9.939 b=9.939 c=8.938 alpha=106.54 beta=106.54 gamma=25.04
Atoms (fractional coordinates):
Nd 0.011 0.011 0.240
Nd 0.323 0.323 0.437
Nd 0.338 0.338 0.891
Nd 0.662 0.662 0.109
Nd 0.677 0.677 0.563
Nd 0.989 0.989 0.760
Ge 0.500 0.500 0.000
Te 0.164 0.164 0.835
Te 0.500 0.500 0.500
Te 0.836 0.836 0.165
Ir 0.168 0.168 0.334
Ir 0.832 0.832 0.666

A plane-wave DFT calculation with PBE was carried out for a relaxed La3CdO crystal.

Output
For the density of states at the Fermi level, the calculation gives 1.019 states/eV/atom. As for the volume: 290.3 Å³/cell. For the energy relative to the elements, uncorrected, the calculation gives -5.367 eV per formula unit. The calculation puts the final energy at -5.204 eV per atom. The calculation puts the size of the total moment at 0.019 μB per atom.

Unit cell a=7.206 b=7.206 c=13.178 alpha=119.11 beta=119.11 gamma=29.39
Atoms (fractional coordinates):
La 0.112 0.112 0.457
La 0.329 0.329 0.254
La 0.375 0.375 0.023
La 0.625 0.625 0.977
La 0.671 0.671 0.746
La 0.888 0.888 0.543
Cd 0.371 0.371 0.743
Cd 0.629 0.629 0.257
O 0.179 0.179 0.886
O 0.821 0.821 0.114

A plane-wave DFT calculation with PBE was carried out for a relaxed NiPt2Br crystal.

Output
For the density of states at the Fermi level, the calculation gives 1.276 states/eV/atom. As for the volume: 73.9 Å³/cell. For the energy relative to the elements, uncorrected, the calculation gives 1.562 eV per formula unit. The calculation puts the final energy at -4.493 eV per atom. The calculation puts the size of the total moment at 0.000 μB per atom.

Unit cell a=6.871 b=6.871 c=6.871 alpha=156.50 beta=145.05 gamma=42.54
Atoms (fractional coordinates):
Ni 0.000 0.000 0.000
Pt 0.183 0.683 0.500
Pt 0.560 0.560 0.000
Br 0.844 0.344 0.500